## La2ZrBr (GGA-PBE)

Data for a relaxed La2ZrBr crystal.

Lattice parameters (Å, degrees): 5.771 5.771 6.173 78.49 78.49 36.31
Each line ends with the local moment (μB).
Sites, in units of the cell vectors:
Br 0.250 0.250 0.250  0.01
Zr 0.750 0.750 0.750  0.54
La 0.982 0.982 0.009  0.07
La 0.518 0.518 0.491  0.07

The value obtained for the polymorph energy (0 for the lowest one) is 398 meV/atom. As for the crystal system: monoclinic. The value obtained for the total magnetization is 0.284 μB/atom. The value obtained for the formation energy without anion corrections is -0.0657 eV/atom. For the calculated volume, the calculation gives 119.0 Å³/f.u.



## Er3Ge4 (GGA-PBE)

Data for a relaxed Er3Ge4 crystal.

Lattice parameters (Å, degrees): 5.680 5.680 14.212 90.00 90.00 138.44
Sites, in units of the cell vectors:
Er 0.669 0.331 0.597
Er 0.331 0.669 0.403
Er 0.331 0.669 0.097
Er 0.669 0.331 0.903
Er 0.047 0.953 0.250
Er 0.953 0.047 0.750
Ge 0.620 0.380 0.392
Ge 0.380 0.620 0.608
Ge 0.380 0.620 0.892
Ge 0.620 0.380 0.108
Ge 0.776 0.224 0.250
Ge 0.224 0.776 0.750
Ge 0.000 0.000 0.000
Ge 0.000 0.000 0.500

As for the crystal system: orthorhombic. The value obtained for the total magnetization is 0.000 μB/atom. Its energy of formation from the pure elements is -0.7740 eV/atom. For the calculated volume, the calculation gives 152.1 Å³/f.u.



## NdDy4Cu4 (GGA-PBE)

Data for a relaxed NdDy4Cu4 crystal.

Lattice parameters (Å, degrees): 5.635 9.001 9.001 90.00 90.00 90.00
Sites, in units of the cell vectors:
Nd 0.000 0.000 0.000
Nd 0.500 0.500 0.500
Dy 0.400 0.330 0.909
Dy 0.900 0.591 0.830
Dy 0.400 0.670 0.091
Dy 0.100 0.170 0.591
Dy 0.600 0.909 0.670
Dy 0.100 0.830 0.409
Dy 0.900 0.409 0.170
Dy 0.600 0.091 0.330
Cu 0.614 0.779 0.355
Cu 0.614 0.221 0.645
Cu 0.114 0.855 0.721
Cu 0.886 0.279 0.855
Cu 0.886 0.721 0.145
Cu 0.386 0.355 0.221
Cu 0.386 0.645 0.779
Cu 0.114 0.145 0.279

As for the crystal system: tetragonal. The value obtained for the total magnetization is 0.000 μB/atom. Its energy of formation from the pure elements is -0.0262 eV/atom. For the calculated volume, the calculation gives 228.3 Å³/f.u.



## TcAs2Ru (GGA-PBE)

Data for a relaxed TcAs2Ru crystal.

Lattice parameters (Å, degrees): 7.804 7.804 7.804 22.37 22.37 22.37
Sites, in units of the cell vectors:
Ru 0.250 0.250 0.250
As 0.000 0.000 0.000
As 0.500 0.500 0.500
Tc 0.750 0.750 0.750

The value obtained for the polymorph energy (0 for the lowest one) is 144 meV/atom. As for the crystal system: trigonal. The value obtained for the total magnetization is 0.000 μB/atom. Its energy of formation from the pure elements is 0.0201 eV/atom. For the calculated volume, the calculation gives 60.4 Å³/f.u.



## Cs2ZrTcI6 (GGA-PBE)

Data for a relaxed Cs2ZrTcI6 crystal.

Lattice parameters (Å, degrees): 8.361 8.361 8.361 60.00 60.00 90.00
Each line ends with the local moment (μB).
Sites, in units of the cell vectors:
Cs 0.750 0.250 0.500  0.00
Cs 0.250 0.750 0.500  0.00
I 0.251 0.251 0.498  0.04
I 0.749 0.749 0.502  0.04
I 0.251 0.251 0.000  0.04
I 0.749 0.749 0.000  0.04
I 0.749 0.251 0.000  0.04
I 0.251 0.749 0.000  0.04
Tc 0.000 0.000 0.000  3.19
Zr 0.500 0.500 0.000  -0.59

As for the crystal system: cubic. The value obtained for the total magnetization is 0.300 μB/atom. The value obtained for the formation energy without anion corrections is -0.6625 eV/atom. For the calculated volume, the calculation gives 413.3 Å³/f.u.



## Mn2Tc (GGA-PBE)

Data for a relaxed Mn2Tc crystal.

Lattice parameters (Å, degrees): 4.006 4.006 2.614 90.00 90.00 120.00
Sites, in units of the cell vectors:
Mn 0.667 0.333 0.000
Mn 0.333 0.667 0.000
Tc 0.000 0.000 0.500

The value obtained for the polymorph energy (0 for the lowest one) is 151 meV/atom. As for the crystal system: hexagonal. The value obtained for the total magnetization is 0.000 μB/atom. Its energy of formation from the pure elements is 0.0682 eV/atom. For the calculated volume, the calculation gives 36.3 Å³/f.u.



## InHgW2 (GGA-PBE)

Data for a relaxed InHgW2 crystal.

Lattice parameters (Å, degrees): 5.368 5.368 2.841 90.00 90.00 116.48
Sites, in units of the cell vectors:
Hg 0.500 0.000 0.500
In 0.000 0.500 0.500
W 0.000 0.000 0.000
W 0.500 0.500 0.000

The value obtained for the polymorph energy (0 for the lowest one) is 352 meV/atom. As for the crystal system: orthorhombic. The value obtained for the total magnetization is 0.000 μB/atom. Its energy of formation from the pure elements is 0.8455 eV/atom. For the calculated volume, the calculation gives 73.3 Å³/f.u.



## AcCe5P6 (GGA-PBE)

Data for a relaxed AcCe5P6 crystal.

Lattice parameters (Å, degrees): 7.198 7.200 7.198 59.99 80.39 70.51
Each line ends with the local moment (μB).
Sites, in units of the cell vectors:
P 0.742 0.086 0.346  -0.03
P 0.258 0.568 0.346  -0.03
P 0.257 0.260 0.000  -0.03
P 0.743 0.740 0.000  -0.03
P 0.742 0.432 0.654  -0.03
P 0.258 0.914 0.654  -0.03
Ac 0.000 0.000 0.000  0.01
Ce 0.500 0.165 0.671  0.55
Ce 0.000 0.333 0.335  0.60
Ce 0.500 0.500 0.000  0.54
Ce 0.000 0.667 0.665  0.60
Ce 0.500 0.835 0.329  0.55

As for the crystal system: monoclinic. The value obtained for the total magnetization is 0.268 μB/atom. Its energy of formation from the pure elements is -1.4650 eV/atom. For the calculated volume, the calculation gives 304.5 Å³/f.u.



## CoCu2Ru (GGA-PBE)

Data for a relaxed CoCu2Ru crystal.

Lattice parameters (Å, degrees): 3.592 2.601 5.848 63.60 90.00 90.00
Each line ends with the local moment (μB).
Sites, in units of the cell vectors:
Co 0.500 0.767 0.733  0.59
Cu 0.000 0.992 0.008  0.01
Cu 0.500 0.263 0.237  0.00
Ru 0.000 0.478 0.522  0.00

The value obtained for the polymorph energy (0 for the lowest one) is 31 meV/atom. As for the crystal system: orthorhombic. The value obtained for the total magnetization is 0.146 μB/atom. Its energy of formation from the pure elements is 0.1866 eV/atom. For the calculated volume, the calculation gives 48.9 Å³/f.u.



## K5BeBr8 (GGA-PBE)

Data for a relaxed K5BeBr8 crystal.

Lattice parameters (Å, degrees): 9.044 9.044 9.044 115.36 98.25 115.36
Each line ends with the local moment (μB).
Sites, in units of the cell vectors:
K 0.018 0.417 0.180  0.00
K 0.820 0.838 0.237  0.00
K 0.763 0.583 0.600  0.00
K 0.500 0.000 0.500  0.00
K 0.400 0.162 0.982  0.00
Be 0.250 0.500 0.750  -0.01
Br 0.145 0.685 0.849  0.12
Br 0.151 0.296 0.836  0.12
Br 0.676 0.172 0.278  0.09
Br 0.722 0.398 0.895  0.09
Br 0.497 0.602 0.324  0.09
Br 0.541 0.704 0.855  0.12
Br 0.164 0.315 0.459  0.12
Br 0.105 0.828 0.503  0.09

As for the crystal system: tetragonal. The value obtained for the total magnetization is 0.085 μB/atom. The value obtained for the formation energy without anion corrections is -1.3513 eV/atom. For the calculated volume, the calculation gives 553.5 Å³/f.u.



## HfTi2I (GGA-PBE)

Data for a relaxed HfTi2I crystal.

Lattice parameters (Å, degrees): 4.146 4.146 10.316 78.41 78.41 90.00
Sites, in units of the cell vectors:
I 0.500 0.500 0.000
I 0.250 0.750 0.500
Hf 0.000 0.000 0.000
Hf 0.750 0.250 0.500
Ti 0.620 0.125 0.250
Ti 0.130 0.625 0.250
Ti 0.375 0.380 0.750
Ti 0.875 0.870 0.750

The value obtained for the polymorph energy (0 for the lowest one) is 79 meV/atom. As for the crystal system: tetragonal. The value obtained for the total magnetization is 0.000 μB/atom. The value obtained for the formation energy without anion corrections is 0.5353 eV/atom. For the calculated volume, the calculation gives 85.0 Å³/f.u.



## RbDyAgTe3 (GGA-PBE)

Data for a relaxed RbDyAgTe3 crystal.

Lattice parameters (Å, degrees): 4.324 8.898 11.353 90.00 90.00 104.06
Sites, in units of the cell vectors:
Rb 0.245 0.490 0.250
Rb 0.755 0.510 0.750
Dy 0.000 0.000 0.500
Dy 0.000 0.000 0.000
Ag 0.469 0.938 0.750
Ag 0.531 0.062 0.250
Te 0.624 0.248 0.050
Te 0.376 0.752 0.950
Te 0.376 0.752 0.550
Te 0.624 0.248 0.450
Te 0.075 0.150 0.750
Te 0.925 0.850 0.250

As for the crystal system: orthorhombic. The value obtained for the total magnetization is 0.000 μB/atom. The value obtained for the formation energy without anion corrections is -0.9102 eV/atom. For the calculated volume, the calculation gives 211.9 Å³/f.u.